The following is a DFT calculation (PBE) of a relaxed SrHgAsBr2 crystal.

Cell and atoms, written as extended XYZ:
```
5
Lattice="5.888 0.000 0.000 0.000 5.888 0.000 0.000 0.000 7.170" Properties=species:S:1:pos:R:3 pbc="T T T"
Hg 2.944 2.944 3.585
Br 0.000 2.944 0.000
Br 2.944 0.000 0.000
As 0.000 0.000 3.585
Sr 0.000 0.000 0.000
```

Results
Total DFT energy (no corrections)   -12.47 eV/cell
Space-group type   P4/mmm, No. 123
Polymorph energy (0 for the lowest one)   0 meV/atom
ΔE_f (raw)   -0.498 eV/atom